Model w:
Density functional theory data (PBE) for a relaxed structure of NaLaMn3.

a b c (Å): 4.9434 4.9434 4.9434
angles (deg): 90.00 90.00 90.00
Last column: magnetic moment on the atom in μB.
Sites, in units of the cell vectors:
Na (0.0000, 0.0000, 0.0000)  0.00
Mn (0.0000, 0.5000, 0.0000)  -3.93
Mn (0.0000, 0.0000, 0.5000)  -3.84
Mn (0.5000, 0.0000, 0.0000)  -3.84
La (0.5000, 0.5000, 0.5000)  0.32


Model x:
Density functional theory data (PBE) for a relaxed structure of NaLaMn3.

a b c (Å): 4.5451 4.5451 4.5451
angles (deg): 90.00 90.00 90.00
Sites, in units of the cell vectors:
Na (0.5000, 0.5000, 0.5000)
Mn (0.0000, 0.5000, 0.0000)
Mn (0.0000, 0.0000, 0.5000)
Mn (0.5000, 0.0000, 0.0000)
La (0.0000, 0.0000, 0.0000)


Question: which arrangement is favored energetically? Ranking from most to least stable: model w, model x.


Model w:
Density functional theory data (PBE) for a relaxed structure of Na2LaMn.

a b c (Å): 5.4550 5.4550 5.4550
angles (deg): 60.00 60.00 60.00
Last column: magnetic moment on the atom in μB.
Sites, in units of the cell vectors:
Na (0.2500, 0.2500, 0.2500)  -0.02
Na (0.7500, 0.7500, 0.7500)  -0.02
Mn (0.0000, 0.0000, 0.0000)  4.14
La (0.5000, 0.5000, 0.5000)  -0.33


Model x:
Density functional theory data (PBE) for a relaxed structure of Na2LaMn.

a b c (Å): 4.3105 4.3105 13.0525
angles (deg): 80.50 80.50 90.00
Last column: magnetic moment on the atom in μB.
Sites, in units of the cell vectors:
Na (0.5998, 0.1250, 0.2500)  -0.01
Na (0.1502, 0.6250, 0.2500)  -0.01
Na (0.3750, 0.4002, 0.7500)  -0.01
Na (0.8750, 0.8498, 0.7500)  -0.01
Mn (0.5000, 0.5000, 0.0000)  3.54
Mn (0.2500, 0.7500, 0.5000)  3.54
La (0.0000, 0.0000, 0.0000)  -0.32
La (0.7500, 0.2500, 0.5000)  -0.32


Question: which arrangement is favored energetically? Ranking from most to least stable: model x, model w.